w | First-principles (PBE) data for a relaxed BiSeN2Cl crystal, as listed in Alexandria.

The calculation puts the magnetic moment at 1.452 μB per formula unit. The space group is P4/mmm.

a = 4.2054 Å, b = 4.2054 Å, c = 4.8985 Å
α = 90.00°, β = 90.00°, γ = 90.00°
Closest atoms and distances in Å follow each position.
Positions (direct):
Se: 0.0000 0.0000 0.5000  2 Cl 2.45
N: 0.5000 0.0000 0.0000  2 Cl 2.10
N: 0.0000 0.5000 0.0000  2 Cl 2.10
Cl: 0.0000 0.0000 0.0000  4 N 2.10
Bi: 0.5000 0.5000 0.5000  4 Se 2.97, 8 N 3.23

***

x | First-principles (PBE) data for a relaxed BiSeN2Cl crystal, as listed in Alexandria.

The calculation puts the magnetic moment at 2.977 μB per formula unit. The space group is P4/mmm.

a = 4.4178 Å, b = 4.4178 Å, c = 6.0005 Å
α = 90.00°, β = 90.00°, γ = 90.00°
Closest atoms and distances in Å follow each position.
Positions (direct):
Bi: 0.0000 0.0000 0.0000  4 N 2.21
Se: 0.0000 0.0000 0.5000  2 Bi 3.00, 4 Cl 3.12
N: 0.5000 0.0000 0.0000  2 Bi 2.21
N: 0.0000 0.5000 0.0000  2 Bi 2.21
Cl: 0.5000 0.5000 0.5000  4 Se 3.12

***

The least stable of them is w.

***

w | First-principles (PBE) data for a relaxed NaBiCl4 crystal, as listed in Alexandria.

The calculation puts the magnetic moment at 0.000 μB per formula unit. The space group is P2/m.

a = 4.1359 Å, b = 6.8162 Å, c = 7.3257 Å
α = 109.68°, β = 90.00°, γ = 90.00°
Closest atoms and distances in Å follow each position.
Positions (direct):
Na: 0.0000 0.5000 0.5000  6 Cl 2.81-3.02
Cl: 0.5000 0.2889 0.2512  1 Bi 2.69, 2 Na 2.81
Cl: 0.0000 0.2605 0.7796  2 Bi 2.79, 1 Na 3.02
Cl: 0.5000 0.7111 0.7488  1 Bi 2.69, 2 Na 2.81
Cl: 0.0000 0.7395 0.2204  2 Bi 2.79, 1 Na 3.02
Bi: 0.5000 0.5000 0.0000  6 Cl 2.69-2.79

***

x | First-principles (PBE) data for a relaxed NaBiCl4 crystal, as listed in Alexandria.

The calculation puts the magnetic moment at 0.000 μB per formula unit. The space group is C2/c.

a = 7.5972 Å, b = 7.3470 Å, c = 10.2281 Å
α = 120.43°, β = 120.93°, γ = 66.62°
Closest atoms and distances in Å follow each position.
Positions (direct):
Cl: 0.4687 0.7168 0.8760  2 Bi 2.75-2.93, 1 Na 2.88
Cl: 0.7744 0.5794 0.6433  1 Bi 2.61, 2 Na 2.87-2.88
Cl: 0.0927 0.8408 0.1240  2 Bi 2.75-2.93, 1 Na 2.88
Cl: 0.3690 0.0639 0.6433  1 Bi 2.61, 2 Na 2.87-2.88
Cl: 0.6310 0.9361 0.3567  1 Bi 2.61, 2 Na 2.87-2.88
Cl: 0.2256 0.4206 0.3567  1 Bi 2.61, 2 Na 2.87-2.88
Cl: 0.5313 0.2832 0.1240  2 Bi 2.75-2.93, 1 Na 2.88
Cl: 0.9073 0.1592 0.8760  2 Bi 2.75-2.93, 1 Na 2.88
Na: 0.5644 0.3144 0.6288  6 Cl 2.87-2.88
Na: 0.4356 0.6856 0.3712  6 Cl 2.87-2.88
Bi: 0.6862 0.9362 0.8725  4 Cl 2.61-2.75
Bi: 0.3138 0.0638 0.1275  4 Cl 2.61-2.75

***

The least stable of them is w.